1.
Entry from Alexandria: CuRh2Se after structural relaxation (PBE).

```
CuRh2Se
1.0
-1.4867 2.1500 4.5922
1.4867 -2.1500 4.5922
1.4867 2.1500 -4.5922
Cu Rh Se
1 2 1
Direct
0.0000 0.0000 0.0000
0.2700 0.7700 0.5000
0.5427 0.5427 0.0000
0.7555 0.2555 0.5000
```

## Properties
Fermi-level density of states   3.5 states/eV/cell
Final energy   -5.491 eV/atom

2.
Entry from Alexandria: CuRh2Se after structural relaxation (PBE).

```
CuRh2Se
1.0
2.8704 0.0000 0.0000
0.0000 4.0767 0.0000
-1.3901 0.0000 5.0710
Cu Rh Se
1 2 1
Direct
0.0000 0.0000 0.0000
0.3582 0.5000 0.7413
0.6418 0.5000 0.2587
0.0000 0.0000 0.5000
```

## Properties
Fermi-level density of states   3.2 states/eV/cell
Final energy   -5.443 eV/atom

3.
Entry from Alexandria: CuRh2Se after structural relaxation (PBE).

```
CuRh2Se
1.0
-1.9166 1.9166 3.9785
1.9166 -1.9166 3.9785
1.9166 1.9166 -3.9785
Cu Rh Se
1 2 1
Direct
0.0000 0.0000 0.0000
0.2500 0.7500 0.5000
0.5000 0.5000 0.0000
0.7500 0.2500 0.5000
```

## Properties
Fermi-level density of states   7.0 states/eV/cell
Final energy   -5.370 eV/atom

4.
Entry from Alexandria: CuRh2Se after structural relaxation (PBE).

```
CuRh2Se
1.0
1.4497 0.8370 8.2149
-1.4497 0.8370 8.2149
0.0000 -1.6740 8.2149
Cu Rh Se
1 2 1
Direct
0.0000 0.0000 0.0000
0.5045 0.5045 0.5045
0.7490 0.7490 0.7490
0.2488 0.2488 0.2488
```

## Properties
Fermi-level density of states   5.2 states/eV/cell
Final energy   -5.367 eV/atom

5.
Entry from Alexandria: CuRh2Se after structural relaxation (PBE).

```
CuRh2Se
1.0
3.1422 0.0000 0.0000
0.0000 3.1422 0.0000
0.0000 0.0000 5.8201
Cu Rh Se
1 2 1
Direct
0.0000 0.0000 0.0000
0.5000 0.5000 0.2489
0.5000 0.5000 0.7511
0.0000 0.0000 0.5000
```

## Properties
Fermi-level density of states   4.0 states/eV/cell
Final energy   -5.550 eV/atom

6.
Entry from Alexandria: CuRh2Se after structural relaxation (PBE).

```
CuRh2Se
1.0
1.4374 -2.4062 0.0000
1.4374 2.4062 0.0000
0.0000 0.0000 8.6233
Cu Rh Se
1 2 1
Direct
0.0000 0.0000 0.0000
0.5000 0.5000 0.2477
0.5000 0.5000 0.7523
0.0000 0.0000 0.5000
```

## Properties
Fermi-level density of states   3.2 states/eV/cell
Final energy   -5.277 eV/atom

Q: Which formula does entry 1 have?
A: CuRh2Se

Q: What is the final energy in the sixth record?
A: -5.277 eV/atom

Q: Fermi-level density of states of number 5 (CuRh2Se)?
A: 4.0 states/eV/cell